Entry 1:
{"formula": "TbBIr2", "functional": "GGA-PBE", "state": "relaxed", "cell": [[4.2019, 0.0000, 0.0000], [-2.1010, 3.6390, 0.0000], [0.0000, 0.0000, 4.8084]], "species": ["Tb", "B", "Ir", "Ir"], "frac_coords": [[0.0000, 0.0000, 0.5000], [0.0000, 0.0000, 0.0000], [0.3333, 0.6667, 0.0000], [0.6667, 0.3333, 0.0000]], "delta_e_f_kcal_per_mol_atoms": 0.29, "dos_ef_per_ev_atom": 1.033, "space_group": "P6/mmm (191)"}



Entry 2:
{"formula": "Tb3B2Ir7", "functional": "GGA-PBE", "state": "relaxed", "cell": [[-0.7322, -0.7603, -5.3202], [4.0107, -2.0459, -3.0244], [-1.4528, -7.9189, -1.4331]], "species": ["Tb", "Tb", "Tb", "B", "B", "Ir", "Ir", "Ir", "Ir", "Ir", "Ir", "Ir"], "frac_coords": [[0.0000, 0.0000, 0.0000], [0.8565, 0.8565, 0.4306], [0.1435, 0.1435, 0.5694], [0.6651, 0.6651, 0.0048], [0.3349, 0.3349, 0.9952], [0.5000, 0.5000, 0.5000], [0.9305, 0.4308, 0.2078], [0.4308, 0.9305, 0.2078], [0.4308, 0.4308, 0.2078], [0.0695, 0.5692, 0.7922], [0.5692, 0.5692, 0.7922], [0.5692, 0.0695, 0.7922]], "delta_e_f_kcal_per_mol_atoms": -16.82, "dos_ef_per_ev_atom": 0.863, "space_group": "R-3m (166)"}



Entry 3:
{"formula": "Tb2ZnB2Ir5", "functional": "GGA-PBE", "state": "relaxed", "cell": [[3.1406, 0.0000, 0.0000], [0.0000, 9.6620, 0.0000], [0.0000, 0.0000, 9.6620]], "species": ["Tb", "Tb", "Tb", "Tb", "Zn", "Zn", "B", "B", "B", "B", "Ir", "Ir", "Ir", "Ir", "Ir", "Ir", "Ir", "Ir", "Ir", "Ir"], "frac_coords": [[0.0000, 0.6777, 0.1777], [0.0000, 0.3223, 0.8223], [0.0000, 0.1777, 0.3223], [0.0000, 0.8223, 0.6777], [0.0000, 0.0000, 0.0000], [0.0000, 0.5000, 0.5000], [0.0000, 0.1224, 0.6224], [0.0000, 0.8776, 0.3776], [0.0000, 0.6224, 0.8776], [0.0000, 0.3776, 0.1224], [0.5000, 0.2205, 0.0675], [0.5000, 0.7795, 0.9325], [0.5000, 0.0675, 0.7795], [0.5000, 0.7205, 0.4325], [0.5000, 0.9325, 0.2205], [0.5000, 0.2795, 0.5675], [0.5000, 0.5675, 0.7205], [0.5000, 0.4325, 0.2795], [0.5000, 0.5000, 0.0000], [0.5000, 0.0000, 0.5000]], "delta_e_f_kcal_per_mol_atoms": -15.00, "dos_ef_per_ev_atom": 0.338, "space_group": "P4/mbm (127)"}



Entry 4:
{"formula": "TcB3Ir", "functional": "GGA-PBE", "state": "relaxed", "cell": [[4.0428, 0.0000, 0.0000], [0.0000, 4.0428, 0.0000], [0.0000, 0.0000, 4.0428]], "species": ["B", "B", "B", "Ir", "Tc"], "frac_coords": [[0.0000, 0.5000, 0.0000], [0.0000, 0.0000, 0.5000], [0.5000, 0.0000, 0.0000], [0.0000, 0.0000, 0.0000], [0.5000, 0.5000, 0.5000]], "delta_e_f_kcal_per_mol_atoms": 30.42, "dos_ef_per_ev_atom": 0.528, "relative_energy_mev_per_atom": 0, "space_group": "Pm-3m (221)"}



Entry 5:
{"formula": "TcB2Ir", "functional": "GGA-PBE", "state": "relaxed", "cell": [[0.3994, -2.7996, -2.6342], [0.7342, -3.6231, 1.1269], [-2.7200, -2.7226, -0.3540]], "species": ["B", "B", "Ir", "Tc"], "frac_coords": [[0.2500, 0.2500, 0.2500], [0.7500, 0.7500, 0.7500], [0.5000, 0.5000, 0.5000], [0.0000, 0.0000, 0.0000]], "delta_e_f_kcal_per_mol_atoms": 2.95, "dos_ef_per_ev_atom": 0.740, "relative_energy_mev_per_atom": 183, "space_group": "Fm-3m (225)"}



Entry 6:
{"formula": "TcB2Ir", "functional": "GGA-PBE", "state": "relaxed", "cell": [[-0.7967, 2.2346, 5.0635], [-4.3123, -3.4574, 0.8473], [-0.7323, -2.5990, 4.1192]], "species": ["B", "B", "B", "B", "Ir", "Ir", "Tc", "Tc"], "frac_coords": [[0.6314, 0.1250, 0.2500], [0.1186, 0.6250, 0.2500], [0.3750, 0.3686, 0.7500], [0.8750, 0.8814, 0.7500], [0.0000, 0.0000, 0.0000], [0.7500, 0.2500, 0.5000], [0.5000, 0.5000, 0.0000], [0.2500, 0.7500, 0.5000]], "delta_e_f_kcal_per_mol_atoms": 6.86, "dos_ef_per_ev_atom": 0.814, "relative_energy_mev_per_atom": 352, "space_group": "I-42d (122)"}



Entry 7:
{"formula": "TcB3Ir", "functional": "GGA-PBE", "state": "relaxed", "cell": [[-0.9218, -3.8544, -0.3009], [3.5358, -0.9656, 1.5370], [-1.5637, 0.0888, 3.6529]], "species": ["B", "B", "B", "Ir", "Tc"], "frac_coords": [[0.0000, 0.5000, 0.0000], [0.0000, 0.0000, 0.5000], [0.5000, 0.0000, 0.0000], [0.5000, 0.5000, 0.5000], [0.0000, 0.0000, 0.0000]], "delta_e_f_kcal_per_mol_atoms": 35.46, "dos_ef_per_ev_atom": 0.864, "relative_energy_mev_per_atom": 219, "space_group": "Pm-3m (221)"}



Entry 8:
{"formula": "Tc3BIr", "functional": "GGA-PBE", "state": "relaxed", "cell": [[-2.2241, -3.2391, -1.0549], [3.1240, -2.4418, 0.9108], [-1.3583, -0.3121, 3.8221]], "species": ["B", "Ir", "Tc", "Tc", "Tc"], "frac_coords": [[0.0000, 0.0000, 0.0000], [0.5000, 0.5000, 0.5000], [0.0000, 0.5000, 0.0000], [0.0000, 0.0000, 0.5000], [0.5000, 0.0000, 0.0000]], "delta_e_f_kcal_per_mol_atoms": 2.32, "dos_ef_per_ev_atom": 1.061, "relative_energy_mev_per_atom": 0, "space_group": "Pm-3m (221)"}